A plane-wave DFT calculation with PBE-GGA was carried out for a relaxed ZnBi2B crystal.

a b c (Å): 4.9896 4.9896 4.9896
angles (deg): 60.00 60.00 60.00
With the nearest neighbours (Å) after each atom.
Positions (direct):
Bi1 0.7500 0.7500 0.7500  4 B 3.06, 4 Zn 3.06
Bi2 0.2500 0.2500 0.2500  4 B 3.06, 4 Zn 3.06
B1 0.0000 0.0000 0.0000  8 Bi 3.06
Zn1 0.5000 0.5000 0.5000  8 Bi 3.06

Properties
- Raw total energy: -0.10969 Ha/atom
- Space-group type: No. 225
- D(E_F): 0.450 states/eV/atom
- Total magnetization: 0.0 μB/f.u.
- ΔH_f (0 K): 0.944 eV per atom
- Density: 9.3 Mg/m³
- ΔE to the lowest computed polymorph: 0.409 eV per atom